V2Cd5P8O28 PBE+U relaxed; symmetry = No. 20; size of the total moment = 0.093 μB/atom; final energy = -576.44 eV per cell
1.0
4.459 -5.044 0.000
4.459 5.044 0.000
0.000 0.000 24.549
V Cd P O
4 10 16 56
direct
0.072 0.760 0.878
0.240 0.928 0.622
0.760 0.072 0.122
0.928 0.240 0.378
0.158 0.452 0.137
0.197 0.197 0.500
0.203 0.797 0.250
0.414 0.414 0.000
0.452 0.158 0.863
0.548 0.842 0.363
0.586 0.586 0.500
0.797 0.203 0.750
0.803 0.803 0.000
0.842 0.548 0.637
0.029 0.758 0.386
0.106 0.699 0.507
0.203 0.296 0.270
0.242 0.971 0.114
0.296 0.203 0.730
0.301 0.894 0.993
0.337 0.431 0.626
0.431 0.337 0.374
0.569 0.663 0.874
0.663 0.569 0.126
0.699 0.106 0.493
0.704 0.797 0.230
0.758 0.029 0.614
0.797 0.704 0.770
0.894 0.301 0.007
0.971 0.242 0.886
0.007 0.247 0.303
0.069 0.458 0.885
0.085 0.117 0.125
0.097 0.809 0.449
0.099 0.387 0.028
0.116 0.799 0.960
0.117 0.085 0.875
0.119 0.276 0.758
0.188 0.467 0.229
0.191 0.903 0.051
0.196 0.598 0.629
0.200 0.785 0.149
0.201 0.884 0.540
0.215 0.800 0.351
0.233 0.236 0.599
0.236 0.233 0.401
0.247 0.007 0.697
0.247 0.539 0.502
0.276 0.119 0.242
0.374 0.393 0.313
0.387 0.099 0.972
0.393 0.374 0.687
0.402 0.804 0.871
0.458 0.069 0.115
0.461 0.753 0.998
0.466 0.492 0.098
0.467 0.188 0.771
0.492 0.466 0.902
0.508 0.534 0.402
0.533 0.812 0.271
0.534 0.508 0.598
0.539 0.247 0.498
0.542 0.931 0.615
0.598 0.196 0.371
0.607 0.626 0.187
0.613 0.901 0.472
0.626 0.607 0.813
0.724 0.881 0.742
0.753 0.461 0.002
0.753 0.993 0.197
0.764 0.767 0.901
0.767 0.764 0.099
0.785 0.200 0.851
0.799 0.116 0.040
0.800 0.215 0.649
0.804 0.402 0.129
0.809 0.097 0.551
0.812 0.533 0.729
0.881 0.724 0.258
0.883 0.915 0.375
0.884 0.201 0.460
0.901 0.613 0.528
0.903 0.191 0.949
0.915 0.883 0.625
0.931 0.542 0.385
0.993 0.753 0.803